Record 1
Here is crystalline Nd4Tm3Zn at its relaxed geometry from Alexandria via LeMat-Bulk. Energies are from PBE-GGA.

Lattice parameters (Å, degrees): 3.6406 3.6406 18.5871 90.00 90.00 90.00
Space group P4/mmm (No. 123)
Asymmetric unit:
Nd (0.0000, 0.0000, 0.0994) [2 per cell]
Nd (0.0000, 0.0000, 0.3675) [2 per cell]
Tm (0.5000, 0.5000, 0.2358) [2 per cell]
Tm (0.5000, 0.5000, 0.5000) [1 per cell]
Zn (0.5000, 0.5000, 0.0000) [1 per cell]

E_form = -1.3 kcal/mol of atoms


Record 2
Here is crystalline Sr2LaSi at its relaxed geometry from Alexandria via LeMat-Bulk. Energies are from PBE-GGA.

Lattice parameters (Å, degrees): 4.1309 4.4554 18.0048 90.00 90.00 90.00
Space group Amm2 (No. 38)
Asymmetric unit:
Sr (0.0000, 0.0000, 0.0000) [2 per cell]
Sr (0.5000, 0.0000, 0.3246) [2 per cell]
La (0.0000, 0.0000, 0.6688) [2 per cell]
Si (0.5000, 0.0000, 0.1452) [2 per cell]

Uncorrected formation energy = -0.818 eV per formula unit


| no. | mass density (g/cm3) | VASP energy (eV/atom) | density of states at the Fermi level (states/eV per cell) |
| --- | --- | --- | --- |
| 1 | 7.746 | -4.28 | 10.9 |
| 2 | 3.430 | -3.63 | 7.6 |